Ac2SnPt7: relaxed, PBE.

Structure (CIF):
```
data_Ac2SnPt7
_chemical_formula_sum 'Ac2 Sn1 Pt7'
_space_group_name_H-M_alt 'P -4 m 2'
_space_group_IT_number 115
_space_group_name_Hall 'P -4 -2'
_cell_length_a 4.191
_cell_length_b 4.191
_cell_length_c 12.352
_cell_angle_alpha 90.00
_cell_angle_beta 90.00
_cell_angle_gamma 90.00
loop_
_atom_site_label
_atom_site_type_symbol
_atom_site_fract_x
_atom_site_fract_y
_atom_site_fract_z
Ac1 Ac 0.000 0.500 0.223
Sn1 Sn 0.000 0.000 0.500
Pt1 Pt 0.000 0.000 0.000
Pt2 Pt 0.000 0.500 0.644
Pt3 Pt 0.000 0.500 0.853
Pt4 Pt 0.500 0.500 0.000
Pt5 Pt 0.500 0.500 0.500
```

Summary:
Formation energy ... -69.30 kJ/mol of atoms
Crystal system ... tetragonal
Magnetization ... 0.0 μB per formula unit

---

NdHoTlGa: relaxed, PBE.

Structure (CIF):
```
data_NdHoTlGa
_chemical_formula_sum 'Nd1 Ho1 Tl1 Ga1'
_space_group_name_H-M_alt 'P 4 m m'
_space_group_IT_number 99
_space_group_name_Hall 'P 4 -2'
_cell_length_a 3.679
_cell_length_b 3.679
_cell_length_c 7.702
_cell_angle_alpha 90.00
_cell_angle_beta 90.00
_cell_angle_gamma 90.00
loop_
_atom_site_label
_atom_site_type_symbol
_atom_site_fract_x
_atom_site_fract_y
_atom_site_fract_z
Nd1 Nd 0.000 0.000 0.000
Ho1 Ho 0.000 0.000 0.466
Tl1 Tl 0.500 0.500 0.719
Ga1 Ga 0.500 0.500 0.246
```

Summary:
Formation energy ... -44.62 kJ/mol of atoms
Crystal system ... tetragonal
Energy above the lowest structure with this stoichiometry ... 0 meV per atom
Magnetization ... 0.0 μB per formula unit

---

MoRuN3: relaxed, PBE.

Structure (CIF):
```
data_MoRuN3
_chemical_formula_sum 'Mo1 Ru1 N3'
_space_group_name_H-M_alt 'P m -3 m'
_space_group_IT_number 221
_space_group_name_Hall '-P 4 2 3'
_cell_length_a 3.802
_cell_length_b 3.802
_cell_length_c 3.802
_cell_angle_alpha 90.00
_cell_angle_beta 90.00
_cell_angle_gamma 90.00
loop_
_atom_site_label
_atom_site_type_symbol
_atom_site_fract_x
_atom_site_fract_y
_atom_site_fract_z
Mo1 Mo 0.000 0.000 0.000
Ru1 Ru 0.500 0.500 0.500
N1 N 0.000 0.500 0.500
```

Summary:
E_form (uncorrected) ... 1427 meV per atom
Crystal system ... cubic
Magnetization ... 0.0 μB per formula unit

---

CeTmPu2S4: relaxed, PBE.

Structure (CIF):
```
data_CeTmPu2S4
_chemical_formula_sum 'Ce1 Tm1 Pu2 S4'
_space_group_name_H-M_alt 'P 1 2/m 1'
_space_group_IT_number 10
_space_group_name_Hall '-P 2y'
_cell_length_a 6.821
_cell_length_b 3.935
_cell_length_c 6.853
_cell_angle_alpha 90.00
_cell_angle_beta 109.26
_cell_angle_gamma 90.00
loop_
_atom_site_label
_atom_site_type_symbol
_atom_site_fract_x
_atom_site_fract_y
_atom_site_fract_z
Ce1 Ce 0.000 0.000 0.000
Tm1 Tm 0.000 0.500 0.500
Pu1 Pu 0.500 0.000 0.500
Pu2 Pu 0.500 0.500 0.000
S1 S 0.246 0.000 0.741
S2 S 0.253 0.500 0.259
```

Summary:
E_form (uncorrected) ... -1891 meV per atom
Crystal system ... monoclinic
Magnetization ... 12.1 μB per formula unit

---

TbDyBi2: relaxed, PBE.

Structure (CIF):
```
data_TbDyBi2
_chemical_formula_sum 'Tb3 Dy3 Bi6'
_space_group_name_H-M_alt 'R 3 m'
_space_group_IT_number 160
_space_group_name_Hall 'R 3 -2"'
_cell_length_a 4.4481
_cell_length_b 4.4481
_cell_length_c 22.8086
_cell_angle_alpha 90.00
_cell_angle_beta 90.00
_cell_angle_gamma 120.00
loop_
_atom_site_label
_atom_site_type_symbol
_atom_site_fract_x
_atom_site_fract_y
_atom_site_fract_z
Tb1 Tb 0.0000 0.0000 0.0000
Dy1 Dy 0.0000 0.0000 0.8294
Bi1 Bi 0.0000 0.0000 0.4134
Bi2 Bi 0.0000 0.0000 0.5824
```

Summary:
Formation energy ... -73.85 kJ/mol of atoms
Crystal system ... trigonal
Energy above the lowest structure with this stoichiometry ... 105 meV per atom
Magnetization ... 0.0 μB per formula unit

---

LiZn3: relaxed, PBE.

Structure (CIF):
```
data_LiZn3
_chemical_formula_sum 'Li1 Zn3'
_space_group_name_H-M_alt 'P 4/m m m'
_space_group_IT_number 123
_space_group_name_Hall '-P 4 2'
_cell_length_a 2.710
_cell_length_b 2.710
_cell_length_c 8.228
_cell_angle_alpha 90.00
_cell_angle_beta 90.00
_cell_angle_gamma 90.00
loop_
_atom_site_label
_atom_site_type_symbol
_atom_site_fract_x
_atom_site_fract_y
_atom_site_fract_z
Li1 Li 0.000 0.000 0.000
Zn1 Zn 0.000 0.000 0.500
Zn2 Zn 0.500 0.500 0.248
```

Summary:
Formation energy ... -8.17 kJ/mol of atoms
Crystal system ... tetragonal
Magnetization ... 0.0 μB per formula unit